Below is a geometry-optimized SrLaCr2O8 structure, with properties calculated at the PBE+U level.

Calculated values
VASP energy in eV/atom: -7.16

Unit cell a=5.752 b=5.752 c=7.462 alpha=90.00 beta=90.00 gamma=120.00
Each line ends with the local moment (μB).
Positions (direct):
O (0.659, 0.829, 0.726)  -0.05
O (0.170, 0.341, 0.726)  -0.05
Cr (0.333, 0.667, 0.800)  0.72
O (0.830, 0.659, 0.274)  -0.05
O (0.667, 0.333, 0.980)  -0.08
O (0.171, 0.830, 0.726)  -0.05
La (0.000, 0.000, 0.500)  0.02
Cr (0.667, 0.333, 0.200)  0.72
O (0.341, 0.171, 0.274)  -0.05
Sr (0.000, 0.000, 0.000)  0.00
O (0.333, 0.667, 0.020)  -0.08
O (0.829, 0.170, 0.274)  -0.05